The following is a PBE-GGA calculation of CrFeSb after structural relaxation, from Alexandria via LeMat-Bulk.

Cell: 4.331 4.331 2.957 Å, 90.00 90.00 120.00°
Fractional positions:
Cr (0.000, 0.000, 0.000)
Fe (0.667, 0.333, 0.506)
Sb (0.333, 0.667, 0.496)

space-group type	P3m1 (156)
total magnetization	1.0	μB/cell
energy relative to the elements, uncorrected	382	meV per atom